Here is an optimized crystal structure of CeAl2Cd from the Alexandria database. Energies are from PBE.

Summary:
* electronic total energy: -3.6621 eV/atom
* magnetization: 1.0 μB per cell
* DFT formation energy: -0.08 eV/atom

a = 3.4759 Å, b = 3.4759 Å, c = 7.2996 Å
α = 90.00°, β = 90.00°, γ = 90.00°
With the nearest neighbours (Å) after each atom.
Atoms (fractional coordinates):
1 Ce 0.0000 0.0000 0.0000  8 Al 3.23, 4 Ce 3.48
2 Al 0.5000 0.5000 0.2865  4 Cd 2.91, 1 Al 3.12, 4 Ce 3.23
3 Al 0.5000 0.5000 0.7135  4 Cd 2.91, 1 Al 3.12, 4 Ce 3.23
4 Cd 0.0000 0.0000 0.5000  8 Al 2.91